i | {"formula": "HfMo2Pd", "functional": "PBE", "state": "optimized geometry", "total_magnetization_mub_per_fu": 0.0, "sg": "I-42d, No. 122", "lattice": [[-3.768, 3.768, 2.592], [3.768, -3.768, 2.592], [3.768, 3.768, -2.592]], "species": ["Hf", "Hf", "Mo", "Mo", "Mo", "Mo", "Pd", "Pd"], "frac_coords": [[0.000, 0.000, 0.000], [0.750, 0.250, 0.500], [0.149, 0.125, 0.524], [0.375, 0.851, 0.976], [0.601, 0.625, 0.476], [0.875, 0.399, 0.024], [0.250, 0.750, 0.500], [0.500, 0.500, 0.000]]}


ii | {"formula": "HfMo2Pd", "functional": "PBE", "state": "optimized geometry", "total_magnetization_mub_per_fu": 0.0, "sg": "Fm-3m, No. 225", "lattice": [[0.000, 3.230, 3.230], [3.230, 0.000, 3.230], [3.230, 3.230, 0.000]], "species": ["Hf", "Mo", "Mo", "Pd"], "frac_coords": [[0.000, 0.000, 0.000], [0.250, 0.250, 0.250], [0.750, 0.750, 0.750], [0.500, 0.500, 0.500]]}


ii is the most stable structure shown above.